# 1
Entry from the Alexandria database: crystalline MnH10SO9 at its relaxed geometry (GGA+U).

Geometry as CIF:
```
data_MnH10SO9
_cell_length_a 6.190
_cell_length_b 6.295
_cell_length_c 10.959
_cell_angle_alpha 75.63
_cell_angle_beta 81.85
_cell_angle_gamma 70.22
_space_group_name_H-M_alt 'P -1'
_space_group_IT_number 2
loop_
_space_group_symop_operation_xyz
'x,y,z'
'-x,-y,-z'
loop_
_atom_site_label
_atom_site_type_symbol
_atom_site_fract_x
_atom_site_fract_y
_atom_site_fract_z
Mn1 Mn 0.000 0.000 0.000
Mn2 Mn 0.000 0.500 0.500
H1 H 0.095 0.325 0.105
H2 H 0.121 0.156 0.710
H3 H 0.177 0.630 0.871
H4 H 0.238 0.798 0.508
H5 H 0.273 0.925 0.300
H6 H 0.275 0.613 0.640
H7 H 0.296 0.119 0.361
H8 H 0.360 0.142 0.631
H9 H 0.371 0.173 0.869
H10 H 0.451 0.895 0.887
S1 S 0.347 0.522 0.213
O1 O 0.032 0.730 0.905
O2 O 0.171 0.690 0.570
O3 O 0.181 0.762 0.176
O4 O 0.192 0.182 0.624
O5 O 0.281 0.416 0.345
O6 O 0.321 0.035 0.898
O7 O 0.344 0.376 0.126
O8 O 0.344 0.949 0.368
O9 O 0.417 0.460 0.791
```

---

# 2
Entry from the Alexandria database: crystalline Mn2SbHO6 at its relaxed geometry (GGA+U).

Geometry as CIF:
```
data_Mn2SbHO6
_cell_length_a 5.121
_cell_length_b 5.176
_cell_length_c 5.617
_cell_angle_alpha 66.07
_cell_angle_beta 89.05
_cell_angle_gamma 61.87
_space_group_name_H-M_alt 'P 1'
_space_group_IT_number 1
loop_
_space_group_symop_operation_xyz
'x,y,z'
loop_
_atom_site_label
_atom_site_type_symbol
_atom_site_fract_x
_atom_site_fract_y
_atom_site_fract_z
Mn1 Mn 0.000 0.000 0.000
Mn2 Mn 0.433 0.098 0.442
Sb1 Sb 0.770 0.442 0.402
H1 H 0.353 0.606 0.681
O1 O 0.061 0.234 0.209
O2 O 0.155 0.250 0.659
O3 O 0.391 0.524 0.215
O4 O 0.531 0.634 0.659
O5 O 0.691 0.897 0.226
O6 O 0.773 0.032 0.655
```

---

# 3
Entry from the Alexandria database: crystalline MnSbHO2 at its relaxed geometry (GGA+U).

Geometry as CIF:
```
data_MnSbHO2
_cell_length_a 4.115
_cell_length_b 4.115
_cell_length_c 3.476
_cell_angle_alpha 90.00
_cell_angle_beta 90.00
_cell_angle_gamma 90.00
_space_group_name_H-M_alt 'P 4/m m m'
_space_group_IT_number 123
_space_group_name_Hall '-P 4 2'
loop_
_atom_site_label
_atom_site_type_symbol
_atom_site_fract_x
_atom_site_fract_y
_atom_site_fract_z
Mn1 Mn 0.000 0.000 0.000
Sb1 Sb 0.500 0.500 0.500
H1 H 0.000 0.000 0.500
O1 O 0.000 0.500 0.000
```

---

# 4
Entry from the Alexandria database: crystalline Mn2SbHO at its relaxed geometry (GGA+U).

Geometry as CIF:
```
data_Mn2SbHO
_cell_length_a 3.736
_cell_length_b 3.736
_cell_length_c 5.010
_cell_angle_alpha 90.00
_cell_angle_beta 90.00
_cell_angle_gamma 90.00
_space_group_name_H-M_alt 'P 4/m m m'
_space_group_IT_number 123
_space_group_name_Hall '-P 4 2'
loop_
_atom_site_label
_atom_site_type_symbol
_atom_site_fract_x
_atom_site_fract_y
_atom_site_fract_z
Mn1 Mn 0.000 0.500 0.000
Sb1 Sb 0.000 0.000 0.500
H1 H 0.500 0.500 0.000
O1 O 0.500 0.500 0.500
```

---

Number 1: E_tot -5.480 eV per atom, ρ 2.061 g/cm³. Number 2: E_tot -6.595 eV per atom, ρ 4.658 g/cm³. Number 3: E_tot -5.505 eV per atom, ρ 5.915 g/cm³. Number 4: E_tot -5.168 eV per atom, ρ 5.904 g/cm³.